1.
Material: TmIn2Pd2
Method: DFT, PBE-GGA
State: relaxed

Properties
Symmetry ... P-3m1, No. 164
ΔE to the lowest computed polymorph ... 0.00 eV per formula unit

```
5
Lattice="4.759 0.000 0.000 -2.380 4.122 0.000 0.000 0.000 5.507" Properties=species:S:1:pos:R:3 pbc="T T T"
Tm 0.000 0.000 0.000
In 0.000 2.748 1.953
In 2.380 1.374 3.554
Pd 0.000 2.748 4.670
Pd 2.380 1.374 0.836
```

=====

2.
Material: Nd3Tm6Th2
Method: DFT, PBE-GGA
State: relaxed

Properties
Symmetry ... C2/m, No. 12

```
11
Lattice="3.065 -5.316 0.000 3.065 5.316 0.000 -2.076 0.000 11.305" Properties=species:S:1:pos:R:3 pbc="T T T"
Nd 0.000 0.000 0.000
Nd 3.065 1.751 0.000
Nd 3.065 -1.751 0.000
Tm 1.014 1.769 2.904
Tm -0.026 0.000 8.409
Tm 1.014 -1.769 2.904
Tm 3.038 1.769 8.402
Tm 4.079 0.000 2.896
Tm 3.038 -1.769 8.402
Th 2.026 3.556 5.653
Th 2.026 -3.556 5.653
```

=====

Size of the total moment, respectively: 0.00 0.00 μB/f.u..
ΔH_f (0 K), respectively: -690 213 meV per atom.